Computed, not measured: Fe3BiSe after structural relaxation at the PBE-GGA level of DFT.

## Properties
Raw total energy   -5.05 eV per atom
ΔE_f (raw)   1.502 eV/atom
Size of the total moment   2.1605 μB/atom
Polymorph energy (0 for the lowest one)   0.886 eV per atom
Crystal system   cubic

a b c (Å): 5.041 5.041 5.041
angles (deg): 90.00 90.00 90.00
Site moments in Bohr magnetons follow the coordinates.
Atoms (fractional coordinates):
Bi: 0.000 0.000 0.000  -0.04
Fe: 0.000 0.500 0.000  -3.19
Fe: 0.000 0.000 0.500  -3.19
Fe: 0.500 0.000 0.000  -3.23
Se: 0.500 0.500 0.500  -0.45

***

Computed, not measured: K2ZrAg after structural relaxation at the PBE-GGA level of DFT.

## Properties
Raw total energy   -2.66 eV per atom
Size of the total moment   0.1136 μB/atom
Polymorph energy (0 for the lowest one)   0.342 eV per atom
Crystal system   monoclinic

a b c (Å): 6.038 7.186 3.087
angles (deg): 78.59 87.69 114.30
Site moments in Bohr magnetons follow the coordinates.
Atoms (fractional coordinates):
K: 0.000 0.000 0.000  0.01
Zr: 0.000 0.500 0.500  0.21
K: 0.500 0.000 0.500  0.01
Ag: 0.500 0.500 0.000  0.00

***

Computed, not measured: LaTb6Y8 after structural relaxation at the PBE-GGA level of DFT.

## Properties
Raw total energy   -5.49 eV per atom
Size of the total moment   0.0000 μB/atom
Polymorph energy (0 for the lowest one)   0.000 eV per atom
Crystal system   trigonal

a b c (Å): 9.076 9.076 8.696
angles (deg): 58.54 58.54 60.00
Atoms (fractional coordinates):
Tb: 0.893 0.768 0.875
Y: 0.746 0.718 0.424
La: 0.000 0.000 0.000
Tb: 0.768 0.463 0.875
Y: 0.254 0.282 0.576
Tb: 0.463 0.893 0.875
Y: 0.423 0.423 0.731
Tb: 0.232 0.537 0.125
Tb: 0.537 0.107 0.125
Y: 0.577 0.577 0.269
Y: 0.111 0.746 0.424
Tb: 0.107 0.232 0.125
Y: 0.889 0.254 0.576
Y: 0.282 0.889 0.576
Y: 0.718 0.111 0.424

***

Computed, not measured: TiI3 after structural relaxation at the PBE-GGA level of DFT.

## Properties
Raw total energy   -3.82 eV per atom
ΔE_f (raw)   -0.686 eV/atom
Size of the total moment   0.2511 μB/atom
Crystal system   orthorhombic

a b c (Å): 3.655 7.655 7.569
angles (deg): 120.37 103.97 90.00
Site moments in Bohr magnetons follow the coordinates.
Atoms (fractional coordinates):
Ti: 0.000 0.042 0.000  0.91
I: 0.351 0.752 0.702  -0.03
I: 0.500 0.323 0.000  -0.03
I: 0.649 0.050 0.298  -0.03

***

Computed, not measured: LiGeSe4 after structural relaxation at the PBE-GGA level of DFT.

## Properties
Raw total energy   -3.74 eV per atom
ΔE_f (raw)   -0.328 eV/atom
Size of the total moment   0.0000 μB/atom
Crystal system   monoclinic

a b c (Å): 5.464 8.102 7.074
angles (deg): 90.00 90.00 70.36
Atoms (fractional coordinates):
Li: 0.500 0.750 0.777
Li: 0.500 0.250 0.223
Ge: 0.000 0.250 0.744
Se: 0.257 0.874 0.448
Se: 0.743 0.626 0.448
Se: 0.743 0.126 0.552
Se: 0.230 0.523 0.022
Se: 0.770 0.477 0.978
Se: 0.230 0.023 0.978
Se: 0.257 0.374 0.552
Se: 0.770 0.977 0.022
Ge: 0.000 0.750 0.256

***

Computed, not measured: Pm2PuSb3Rh4 after structural relaxation at the PBE-GGA level of DFT.

## Properties
Raw total energy   -7.33 eV per atom
ΔE_f (raw)   -0.765 eV/atom
Size of the total moment   0.5525 μB/atom
Crystal system   tetragonal

a b c (Å): 4.423 4.423 11.305
angles (deg): 90.00 90.00 90.00
Site moments in Bohr magnetons follow the coordinates.
Atoms (fractional coordinates):
Rh: 0.000 0.000 0.000  0.15
Pu: 0.500 0.500 0.500  5.01
Sb: 0.500 0.000 0.870  0.01
Sb: 0.000 0.500 0.130  0.01
Pm: 0.500 0.000 0.226  0.05
Sb: 0.000 0.000 0.500  -0.05
Rh: 0.500 0.500 0.000  0.15
Pm: 0.000 0.500 0.774  0.05
Rh: 0.000 0.500 0.356  -0.12
Rh: 0.500 0.000 0.644  -0.12